1.
A relaxed CoSi2Os crystal. Source: the Open Quantum Materials Database, functional GGA-PBE.

Computed properties:
- VASP energy (eV per atom) = -7.03
- space group = No. 216
- V (A^3/atom) = 12.79

Lattice parameters (Å, degrees): 4.167 4.167 4.167 60.00 60.00 60.00
Element x y z (fractional)
Co: 0.250 0.250 0.250
Os: 0.500 0.500 0.500
Si: 0.000 0.000 0.000
Si: 0.750 0.750 0.750


2.
A relaxed RePtNO crystal. Source: the Open Quantum Materials Database, functional GGA-PBE.

Computed properties:
- VASP energy (eV per atom) = -7.95
- space group = No. 26
- V (A^3/atom) = 12.36
- relative energy among the computed polymorphs (eV/atom) = 0.054

Lattice parameters (Å, degrees): 2.785 6.094 5.824 90.00 90.00 90.00
Element x y z (fractional)
N: 0.000 0.850 0.299
N: 0.000 0.150 0.799
O: 0.500 0.365 0.422
O: 0.500 0.635 0.922
Pt: 0.500 0.274 0.056
Pt: 0.500 0.726 0.556
Re: 0.000 0.124 0.477
Re: 0.000 0.876 0.977


3.
A relaxed ErCoNiP2 crystal. Source: the Open Quantum Materials Database, functional GGA-PBE.

Computed properties:
- VASP energy (eV per atom) = -6.61
- space group = No. 119
- V (A^3/atom) = 13.67

Lattice parameters (Å, degrees): 5.379 5.379 5.379 138.21 138.21 60.58
Element x y z (fractional)
Co: 0.000 0.000 0.000
Er: 0.750 0.250 0.500
Ni: 0.500 0.500 0.000
P: 0.126 0.626 0.500
P: 0.374 0.874 0.500


4.
A relaxed Zr4Ni2H9 crystal. Source: the Open Quantum Materials Database, functional GGA-PBE.

Computed properties:
- VASP energy (eV per atom) = -5.50
- space group = No. 2
- V (A^3/atom) = 8.70

Lattice parameters (Å, degrees): 6.784 8.819 8.856 80.01 90.11 90.27
Element x y z (fractional)
H: 0.876 0.380 0.003
H: 0.335 0.996 0.045
H: 0.040 0.057 0.111
H: 0.376 0.501 0.124
H: 0.745 0.123 0.128
H: 0.375 0.749 0.133
H: 0.969 0.636 0.197
H: 0.454 0.142 0.199
H: 0.837 0.298 0.238
H: 0.662 0.702 0.263
H: 0.047 0.858 0.301
H: 0.531 0.364 0.303
H: 0.125 0.250 0.366
H: 0.755 0.877 0.372
H: 0.123 0.498 0.376
H: 0.461 0.943 0.389
H: 0.166 0.004 0.455
H: 0.624 0.621 0.497
H: 0.376 0.379 0.503
H: 0.834 0.996 0.545
H: 0.539 0.057 0.611
H: 0.877 0.502 0.624
H: 0.245 0.123 0.628
H: 0.875 0.750 0.634
H: 0.469 0.636 0.697
H: 0.953 0.142 0.699
H: 0.338 0.298 0.737
H: 0.163 0.702 0.762
H: 0.546 0.858 0.801
H: 0.031 0.364 0.803
H: 0.625 0.251 0.867
H: 0.255 0.877 0.872
H: 0.624 0.499 0.876
H: 0.960 0.943 0.889
H: 0.665 0.004 0.955
H: 0.124 0.620 0.997
Ni: 0.249 0.151 0.101
Ni: 0.749 0.626 0.123
Ni: 0.752 0.374 0.378
Ni: 0.251 0.849 0.399
Ni: 0.749 0.151 0.601
Ni: 0.248 0.626 0.622
Ni: 0.251 0.374 0.877
Ni: 0.751 0.849 0.899
Zr: 0.585 0.338 0.081
Zr: 0.097 0.833 0.081
Zr: 0.088 0.421 0.164
Zr: 0.574 0.920 0.175
Zr: 0.926 0.079 0.325
Zr: 0.412 0.579 0.336
Zr: 0.403 0.167 0.419
Zr: 0.915 0.662 0.419
Zr: 0.085 0.338 0.581
Zr: 0.597 0.833 0.581
Zr: 0.588 0.421 0.664
Zr: 0.074 0.921 0.675
Zr: 0.426 0.080 0.825
Zr: 0.912 0.579 0.836
Zr: 0.903 0.167 0.919
Zr: 0.415 0.662 0.919


5.
A relaxed HfCoPbAu crystal. Source: the Open Quantum Materials Database, functional GGA-PBE.

Computed properties:
- VASP energy (eV per atom) = -5.93
- space group = No. 216
- V (A^3/atom) = 18.66
- relative energy among the computed polymorphs (eV/atom) = 0.000

Lattice parameters (Å, degrees): 4.726 4.726 4.726 60.00 60.00 60.00
Element x y z (fractional)
Au: 0.750 0.750 0.750
Co: 0.250 0.250 0.250
Hf: 0.000 0.000 0.000
Pb: 0.500 0.500 0.500


6.
A relaxed TbZnMo crystal. Source: the Open Quantum Materials Database, functional GGA-PBE.

Computed properties:
- VASP energy (eV per atom) = -4.96
- energy relative to the elements (eV per atom) = 0.616
- space group = No. 216
- V (A^3/atom) = 21.70
- relative energy among the computed polymorphs (eV/atom) = 0.000

Lattice parameters (Å, degrees): 4.515 4.515 4.515 60.00 60.00 60.00
Element x y z (fractional)
Mo: 0.250 0.250 0.250
Tb: 0.750 0.750 0.750
Zn: 0.000 0.000 0.000


7.
A relaxed NaAsPIr2 crystal. Source: the Open Quantum Materials Database, functional GGA-PBE.

Computed properties:
- VASP energy (eV per atom) = -6.28
- space group = No. 107
- V (A^3/atom) = 18.83

Lattice parameters (Å, degrees): 6.527 6.527 6.527 144.31 144.31 51.37
Element x y z (fractional)
As: 0.369 0.369 0.000
Ir: 0.743 0.243 0.500
Ir: 0.243 0.743 0.500
Na: 0.005 0.005 0.000
P: 0.640 0.640 0.000


8.
A relaxed KAsPdO crystal. Source: the Open Quantum Materials Database, functional GGA-PBE.

Computed properties:
- VASP energy (eV per atom) = -4.45
- space group = No. 26
- V (A^3/atom) = 20.54
- relative energy among the computed polymorphs (eV/atom) = 0.000

Lattice parameters (Å, degrees): 3.480 7.767 6.079 90.00 90.00 90.00
Element x y z (fractional)
As: 0.000 0.164 0.377
As: 0.000 0.836 0.877
K: 0.000 0.614 0.414
K: 0.000 0.386 0.914
O: 0.500 0.826 0.356
O: 0.500 0.174 0.856
Pd: 0.500 0.000 0.107
Pd: 0.500 0.000 0.607


9.
A relaxed Ni9Hg crystal. Source: the Open Quantum Materials Database, functional GGA-PBE.

Computed properties:
- VASP energy (eV per atom) = -4.92
- energy relative to the elements (eV per atom) = 0.121
- space group = No. 59
- V (A^3/atom) = 15.97
- relative energy among the computed polymorphs (eV/atom) = 0.000

Lattice parameters (Å, degrees): 2.569 3.405 36.516 90.00 90.00 90.00
Element x y z (fractional)
Hg: 0.500 0.500 0.336
Hg: 0.000 0.000 0.664
Ni: 0.000 0.000 0.017
Ni: 0.500 0.500 0.050
Ni: 0.000 0.000 0.084
Ni: 0.500 0.500 0.118
Ni: 0.000 0.000 0.152
Ni: 0.500 0.500 0.185
Ni: 0.000 0.000 0.220
Ni: 0.500 0.500 0.254
Ni: 0.000 0.000 0.287
Ni: 0.500 0.500 0.713
Ni: 0.000 0.000 0.746
Ni: 0.500 0.500 0.780
Ni: 0.000 0.000 0.815
Ni: 0.500 0.500 0.848
Ni: 0.000 0.000 0.882
Ni: 0.500 0.500 0.916
Ni: 0.000 0.000 0.950
Ni: 0.500 0.500 0.983


10.
A relaxed Cd2Re2O5 crystal. Source: the Open Quantum Materials Database, functional GGA-PBE.

Computed properties:
- VASP energy (eV per atom) = -6.49
- space group = No. 123
- V (A^3/atom) = 11.82
- relative energy among the computed polymorphs (eV/atom) = 0.000

Lattice parameters (Å, degrees): 6.830 3.947 3.947 90.00 90.00 90.00
Element x y z (fractional)
Cd: 0.000 0.000 0.000
Cd: 0.500 0.000 0.000
O: 0.226 0.500 0.000
O: 0.774 0.500 0.000
O: 0.226 0.000 0.500
O: 0.774 0.000 0.500
O: 0.500 0.500 0.500
Re: 0.175 0.500 0.500
Re: 0.825 0.500 0.500


11.
A relaxed MgNb2Ge crystal. Source: the Open Quantum Materials Database, functional GGA-PBE.

Computed properties:
- VASP energy (eV per atom) = -6.44
- space group = No. 216
- V (A^3/atom) = 17.44

Lattice parameters (Å, degrees): 4.621 4.621 4.621 60.00 60.00 60.00
Element x y z (fractional)
Ge: 0.500 0.500 0.500
Mg: 0.250 0.250 0.250
Nb: 0.000 0.000 0.000
Nb: 0.750 0.750 0.750


12.
A relaxed Li2AgAu crystal. Source: the Open Quantum Materials Database, functional GGA-PBE.

Computed properties:
- VASP energy (eV per atom) = -2.77
- space group = No. 62
- V (A^3/atom) = 17.00
- relative energy among the computed polymorphs (eV/atom) = 0.116

Lattice parameters (Å, degrees): 5.373 7.158 7.072 90.00 90.00 90.00
Element x y z (fractional)
Ag: 0.111 0.750 0.032
Ag: 0.611 0.250 0.468
Ag: 0.389 0.750 0.532
Ag: 0.889 0.250 0.968
Au: 0.391 0.250 0.089
Au: 0.891 0.750 0.411
Au: 0.109 0.250 0.589
Au: 0.609 0.750 0.911
Li: 0.593 0.548 0.212
Li: 0.593 0.952 0.212
Li: 0.093 0.048 0.288
Li: 0.093 0.452 0.288
Li: 0.907 0.548 0.712
Li: 0.907 0.952 0.712
Li: 0.407 0.048 0.788
Li: 0.407 0.452 0.788